NdSmPd3 PBE optimized geometry; total moment = 0.00 μB per formula unit; calculated total energy = -5.80 eV/atom; formation enthalpy at 0 K = -18.173 kcal/mol of atoms; DOS(E_F) = 12.018 states/eV per cell
1.0
6.978 0.000 0.000
0.000 7.983 0.000
0.000 0.000 7.993
Nd Pd Sm
4 12 4
Cartesian
1.522 5.077 3.996
1.967 1.086 7.993
5.011 6.896 0.000
5.456 2.905 3.997
2.680 6.832 1.999
3.489 3.991 6.040
6.169 5.142 1.997
0.809 2.841 5.996
3.489 3.991 1.953
0.000 7.982 5.949
4.298 1.150 1.999
0.809 2.841 1.997
2.680 6.832 5.994
6.169 5.142 5.996
4.298 1.150 5.994
6.978 0.000 2.044
1.978 1.081 3.997
5.000 6.902 3.997
1.511 5.072 7.993
5.467 2.910 0.000

Nd2SmPd2 PBE optimized geometry; polymorph energy (0 for the lowest one) = 37 meV/atom; total moment = 0.00 μB per formula unit; calculated total energy = -5.53 eV/atom; formation enthalpy at 0 K = -13.916 kcal/mol of atoms; DOS(E_F) = 4.848 states/eV per cell
1.0
-3.255 4.703 -2.605
1.689 -3.333 -5.053
-1.774 -2.892 5.911
Pd Nd Sm
2 2 1
Cartesian
-1.146 0.094 -2.620
-2.194 -1.616 0.873
-3.190 1.711 -0.121
-0.149 -3.233 -1.627
0.000 0.000 0.000

Nd2SmPd PBE optimized geometry; polymorph energy (0 for the lowest one) = 16 meV/atom; total moment = 0.00 μB per formula unit; calculated total energy = -5.26 eV/atom; formation enthalpy at 0 K = -9.081 kcal/mol of atoms; DOS(E_F) = 11.008 states/eV per cell
1.0
-0.626 -0.805 3.772
-1.709 -5.180 -3.413
9.230 -3.555 0.772
Nd Pd Sm
4 2 2
Cartesian
7.202 -7.409 -0.387
3.199 -3.480 1.811
-0.306 -2.130 1.518
3.696 -6.059 -0.680
1.369 -3.479 -0.516
5.526 -6.061 1.647
0.271 -6.050 0.776
6.624 -3.490 0.355

Nd2SmPd PBE optimized geometry; polymorph energy (0 for the lowest one) = 0 meV/atom; total moment = 0.00 μB per formula unit; calculated total energy = -5.27 eV/atom; formation enthalpy at 0 K = -9.454 kcal/mol of atoms; DOS(E_F) = 17.406 states/eV per cell
1.0
6.593 0.000 0.000
0.000 7.230 0.000
0.000 0.000 10.140
Sm Pd Nd
4 4 8
Cartesian
0.943 7.043 7.605
5.650 0.187 2.535
2.354 3.428 7.605
4.239 3.803 2.535
0.443 2.777 2.535
6.150 4.454 7.605
3.739 0.838 7.605
2.854 6.392 2.535
5.477 2.306 5.680
2.180 1.309 0.610
4.413 5.921 5.680
2.180 1.309 4.460
1.116 4.925 0.610
4.413 5.921 9.530
1.116 4.925 4.460
5.477 2.306 9.530

Nd2SmPd PBE optimized geometry; polymorph energy (0 for the lowest one) = 158 meV/atom; total moment = 0.00 μB per formula unit; calculated total energy = -5.11 eV/atom; formation enthalpy at 0 K = -5.806 kcal/mol of atoms; DOS(E_F) = 4.328 states/eV per cell
1.0
-0.536 -0.123 -3.779
2.878 -0.993 -2.306
-1.933 -9.848 -1.335
Nd Pd Sm
2 1 1
Cartesian
0.248 -2.231 -1.892
0.160 -8.732 -5.528
0.000 0.000 0.000
0.204 -5.482 -3.710

NdSm2Pd PBE optimized geometry; polymorph energy (0 for the lowest one) = 17 meV/atom; total moment = 0.00 μB per formula unit; calculated total energy = -5.25 eV/atom; formation enthalpy at 0 K = -9.333 kcal/mol of atoms; DOS(E_F) = 10.907 states/eV per cell
1.0
-3.177 0.239 -2.212
0.717 -6.238 1.695
-5.412 1.536 7.940
Nd Sm Pd
2 4 2
Cartesian
-4.180 0.305 6.037
-3.692 -4.768 1.388
-5.719 -3.013 7.888
-3.669 -3.594 4.881
-4.203 -0.869 2.543
-2.153 -1.451 -0.463
-1.757 -2.455 2.259
-6.115 -2.008 5.166

- What is the formation enthalpy at 0 K in the sixth record?
  -9.333 kcal/mol of atoms